Record 1
This record from the Alexandria database describes a relaxed PaFeS3 crystal. The functional is PBE.

Geometry as CIF:
```
data_PaFeS3
_chemical_formula_sum 'Pa4 Fe4 S12'
_space_group_name_H-M_alt 'C m c m'
_space_group_IT_number 63
_space_group_name_Hall '-C 2c 2'
_cell_length_a 3.8176
_cell_length_b 12.2336
_cell_length_c 8.5159
_cell_angle_alpha 90.00
_cell_angle_beta 90.00
_cell_angle_gamma 90.00
loop_
_atom_site_label
_atom_site_fract_x
_atom_site_fract_y
_atom_site_fract_z
Pa1 0.0000 0.2377 0.2500
Fe1 0.0000 0.0176 0.7500
S1 0.0000 0.1538 0.5676
S2 0.0000 0.4232 0.7500
```

***

Record 2
# CoAg2Br | the Alexandria database | PBE | relaxed
data_CoAg2Br
_chemical_formula_sum 'Co2 Ag4 Br2'
_space_group_name_H-M_alt 'I -4 m 2'
_space_group_IT_number 119
_space_group_name_Hall 'I -4 -2'
_cell_length_a 4.2371
_cell_length_b 4.2371
_cell_length_c 8.1912
_cell_angle_alpha 90.00
_cell_angle_beta 90.00
_cell_angle_gamma 90.00
loop_
_atom_site_label
_atom_site_fract_x
_atom_site_fract_y
_atom_site_fract_z
Co1 0.0000 0.0000 0.0000
Ag1 0.0000 0.0000 0.5000
Ag2 0.0000 0.5000 0.7500
Br1 0.0000 0.5000 0.2500
# Offset from the most stable computed form: 351 meV/atom

***

How do the records compare in ρ? In the order shown, they have 6.398; 8.008 Mg/m³.
How do the records compare in energy relative to the elements, uncorrected? In the order shown, they have -1.100; 0.626 eV per atom.
How do the records compare in DFT total energy? In the order shown, they have -7.168; -2.994 eV per atom.